Entry 1:
ScCuTe2I: relaxed, PBE-GGA.

Results
ΔE_f (raw) ... 0.081 eV per atom
Relative energy among the computed polymorphs ... 0.017 eV per atom

Cell: 5.2208 5.2208 5.2050 Å, 90.00 90.00 90.00°
Space group P4/mmm (No. 123)
Symmetry-distinct sites (fractional):
Sc: 0.0000 0.0000 0.0000 (multiplicity 1)
Cu: 0.5000 0.5000 0.5000 (multiplicity 1)
Te: 0.0000 0.5000 0.5000 (multiplicity 2)
I: 0.5000 0.5000 0.0000 (multiplicity 1)

---

Entry 2:
InSnP: relaxed, PBE-GGA.

Results
Calculated formation energy ... -0.013 eV per atom

Cell: 3.9471 3.9471 5.5135 Å, 90.00 90.00 120.00°
Space group P3m1 (No. 156)
Symmetry-distinct sites (fractional):
In: 0.0000 0.0000 0.0000 (multiplicity 1)
Sn: 0.6667 0.3333 0.4248 (multiplicity 1)
P: 0.3333 0.6667 0.6971 (multiplicity 1)

---

Entry 3:
CsCuBiS2: relaxed, PBE-GGA.

Results
ΔE_f (raw) ... -0.478 eV per atom

Cell: 7.9748 4.5219 8.6645 Å, 90.00 98.75 90.00°
Space group P2/c (No. 13)
Symmetry-distinct sites (fractional):
Cs: 0.0000 0.1824 0.2500 (multiplicity 2)
Cu: 0.5000 0.0000 0.0000 (multiplicity 2)
Bi: 0.5000 0.4625 0.7500 (multiplicity 2)
S: 0.2857 0.3104 0.9745 (multiplicity 4)

---

Entry 4:
CsPuCl6: relaxed, PBE-GGA.

Results
ΔE_f (raw) ... -1.609 eV per atom
Relative energy among the computed polymorphs ... 0.000 eV per atom

Cell: 7.2605 7.2605 13.4198 Å, 90.00 90.00 120.00°
Space group P-31c (No. 163)
Symmetry-distinct sites (fractional):
Cs: 0.3333 0.6667 0.2500 (multiplicity 2)
Pu: 0.0000 0.0000 0.0000 (multiplicity 2)
Cl: 0.0882 0.3178 0.6085 (multiplicity 12)

---

Entry 5:
TmUP2: relaxed, PBE-GGA.

Results
Calculated formation energy ... -1.288 eV per atom
Relative energy among the computed polymorphs ... 0.000 eV per atom

Cell: 3.9208 3.9208 19.5140 Å, 90.00 90.00 120.00°
Space group R-3m (No. 166, hexagonal axes)
Symmetry-distinct sites (fractional):
Tm: 0.0000 0.0000 0.0000 (multiplicity 3)
U: 0.0000 0.0000 0.5000 (multiplicity 3)
P: 0.0000 0.0000 0.2498 (multiplicity 6)

---

Entry 6:
KNaMnBr4: relaxed, PBE-GGA.

Results
ΔE_f (raw) ... -1.274 eV per atom

Cell: 7.2875 7.6121 8.8884 Å, 90.00 106.77 90.00°
Space group P2_1/m (No. 11)
Symmetry-distinct sites (fractional):
K: 0.2355 0.2500 0.0543 (multiplicity 2)
Na: 0.2199 0.2500 0.5549 (multiplicity 2)
Mn: 0.2425 0.7500 0.3254 (multiplicity 2)
Br: 0.0063 0.5005 0.2722 (multiplicity 4)
Br: 0.4401 0.7500 0.1392 (multiplicity 2)
Br: 0.4612 0.7500 0.5951 (multiplicity 2)

---

Entry 7:
IrBrN2: relaxed, PBE-GGA.

Results
ΔE_f (raw) ... 0.999 eV per atom
Relative energy among the computed polymorphs ... 0.095 eV per atom

Cell: 6.0024 6.0024 8.4509 Å, 90.00 90.00 90.00°
Space group I-42d (No. 122)
Symmetry-distinct sites (fractional):
Ir: 0.0000 0.0000 0.0000 (multiplicity 4)
Br: 0.0000 0.0000 0.5000 (multiplicity 4)
N: 0.0015 0.7500 0.1250 (multiplicity 8)

---

Entry 8:
ZnCo2Os: relaxed, PBE-GGA.

Results
Calculated formation energy ... 0.264 eV per atom

Cell: 2.7466 4.4006 8.5594 Å, 90.00 90.00 90.00°
Space group Cmm2 (No. 35)
Symmetry-distinct sites (fractional):
Zn: 0.0000 0.0000 0.0000 (multiplicity 2)
Co: 0.0000 0.0000 0.5240 (multiplicity 2)
Co: 0.0000 0.5000 0.7529 (multiplicity 2)
Os: 0.0000 0.5000 0.2708 (multiplicity 2)

---

Please write out number 8 again, unchanged.
ZnCo2Os: relaxed, PBE-GGA.

Results
Calculated formation energy ... 0.264 eV per atom

Cell: 2.7466 4.4006 8.5594 Å, 90.00 90.00 90.00°
Space group Cmm2 (No. 35)
Symmetry-distinct sites (fractional):
Zn: 0.0000 0.0000 0.0000 (multiplicity 2)
Co: 0.0000 0.0000 0.5240 (multiplicity 2)
Co: 0.0000 0.5000 0.7529 (multiplicity 2)
Os: 0.0000 0.5000 0.2708 (multiplicity 2)